Compound: BaMg3S
Source: the Alexandria database
Functional: PBE
Structure: relaxed

Computed properties:
**V**: 150.0 Å³ per cell
**Raw formation energy**: -0.129 eV per atom
**Total moment**: 0.00 μB/f.u.
**Excess energy over the best structure of this formula in the dataset**: 0 meV per atom

abc: 5.313 5.313 5.313
angles: 90.00 90.00 90.00
Space group Pm-3m (No. 221)
Inequivalent atoms, fractional coordinates:
1 Ba 0.000 0.000 0.000 [1 per cell]
2 Mg 0.000 0.500 0.500 [3 per cell]
3 S 0.500 0.500 0.500 [1 per cell]



Compound: Ba2MgS3
Source: the Alexandria database
Functional: PBE
Structure: relaxed

Computed properties:
**V**: 679.6 Å³ per cell
**Raw formation energy**: -1.859 eV per atom
**Total moment**: 0.00 μB/f.u.

abc: 8.991 4.360 17.335
angles: 90.00 90.00 90.00
Space group Pnma (No. 62)
Inequivalent atoms, fractional coordinates:
1 Ba 0.084 0.250 0.215 [4 per cell]
2 Ba 0.233 0.250 0.955 [4 per cell]
3 Mg 0.123 0.250 0.631 [4 per cell]
4 S 0.004 0.250 0.401 [4 per cell]
5 S 0.129 0.750 0.072 [4 per cell]
6 S 0.176 0.250 0.771 [4 per cell]



Compound: BaMgS2
Source: the Alexandria database
Functional: PBE
Structure: relaxed

Computed properties:
**V**: 508.0 Å³ per cell
**Raw formation energy**: -1.605 eV per atom
**Total moment**: 0.00 μB/f.u.

abc: 14.612 4.471 8.610
angles: 90.00 115.42 90.00
Space group C2/m (No. 12)
Inequivalent atoms, fractional coordinates:
1 Ba 0.109 0.000 0.317 [4 per cell]
2 Mg 0.181 0.500 0.857 [4 per cell]
3 S 0.133 0.000 0.951 [4 per cell]
4 S 0.157 0.500 0.567 [4 per cell]



Compound: BaMg3S
Source: the Alexandria database
Functional: PBE
Structure: relaxed

Computed properties:
**V**: 290.9 Å³ per cell
**Raw formation energy**: 1.149 eV per atom
**Total moment**: 0.07 μB/f.u.
**Excess energy over the best structure of this formula in the dataset**: 1278 meV per atom

abc: 6.626 6.626 6.626
angles: 90.00 90.00 90.00
Space group Pm-3m (No. 221)
Inequivalent atoms, fractional coordinates:
1 Ba 0.000 0.000 0.000 [1 per cell]
2 Mg 0.000 0.000 0.500 [3 per cell]
3 S 0.500 0.500 0.500 [1 per cell]



Compound: Ba2MgS2
Source: the Alexandria database
Functional: PBE
Structure: relaxed

Computed properties:
**V**: 297.8 Å³ per cell
**Raw formation energy**: -1.389 eV per atom
**Total moment**: 0.00 μB/f.u.

abc: 8.456 8.456 4.165
angles: 90.00 90.00 90.00
Space group P4/mbm (No. 127)
Inequivalent atoms, fractional coordinates:
1 Ba 0.153 0.347 0.000 [4 per cell]
2 Mg 0.000 0.000 0.500 [2 per cell]
3 S 0.156 0.656 0.500 [4 per cell]



Compound: BaMg2S2
Source: the Alexandria database
Functional: PBE
Structure: relaxed

Computed properties:
**V**: 235.2 Å³ per cell
**Raw formation energy**: -0.951 eV per atom
**Total moment**: 0.00 μB/f.u.

abc: 4.196 4.196 13.360
angles: 90.00 90.00 90.00
Space group I4/mmm (No. 139)
Inequivalent atoms, fractional coordinates:
1 Ba 0.000 0.000 0.000 [2 per cell]
2 Mg 0.000 0.500 0.250 [4 per cell]
3 S 0.000 0.000 0.371 [4 per cell]



Compound: BaMgS2
Source: the Alexandria database
Functional: PBE
Structure: relaxed

Computed properties:
**V**: 466.2 Å³ per cell
**Raw formation energy**: -1.364 eV per atom
**Total moment**: 0.00 μB/f.u.

abc: 4.8413 4.8413 22.9668
angles: 90.00 90.00 120.00
Space group R-3m (No. 166, hexagonal axes)
Inequivalent atoms, fractional coordinates:
1 Ba 0.0000 0.0000 0.0000 [3 per cell]
2 Mg 0.0000 0.0000 0.5000 [3 per cell]
3 S 0.0000 0.0000 0.4015 [6 per cell]



Compound: BaMgSc4S8
Source: the Alexandria database
Functional: PBE
Structure: relaxed

Computed properties:
**V**: 1037.1 Å³ per cell
**Raw formation energy**: -1.720 eV per atom
**Total moment**: 0.00 μB/f.u.

abc: 7.8437 7.8437 19.4652
angles: 90.00 90.00 120.00
Space group R3m (No. 160, hexagonal axes)
Inequivalent atoms, fractional coordinates:
1 Ba 0.0000 0.0000 0.0000 [3 per cell]
2 Mg 0.0000 0.0000 0.6256 [3 per cell]
3 Sc 0.0000 0.0000 0.2478 [3 per cell]
4 Sc 0.1710 0.3421 0.4563 [9 per cell]
5 S 0.0000 0.0000 0.3798 [3 per cell]
6 S 0.0000 0.0000 0.8540 [3 per cell]
7 S 0.0571 0.5285 0.3834 [9 per cell]
8 S 0.1745 0.3491 0.2047 [9 per cell]



Compound: Ba2MgSnS5
Source: the Alexandria database
Functional: PBE
Structure: relaxed

Computed properties:
**V**: 975.8 Å³ per cell
**Raw formation energy**: -1.354 eV per atom
**Total moment**: 0.00 μB/f.u.

abc: 4.034 19.132 12.644
angles: 90.00 90.00 90.00
Space group Cmc2_1 (No. 36)
Inequivalent atoms, fractional coordinates:
1 Ba 0.000 0.128 0.000 [4 per cell]
2 Ba 0.000 0.131 0.630 [4 per cell]
3 Mg 0.000 0.224 0.353 [4 per cell]
4 Sn 0.000 0.436 0.764 [4 per cell]
5 S 0.000 0.039 0.375 [4 per cell]
6 S 0.000 0.293 0.977 [4 per cell]
7 S 0.000 0.317 0.705 [4 per cell]
8 S 0.000 0.350 0.318 [4 per cell]
9 S 0.000 0.497 0.599 [4 per cell]



Compound: BaMg2SnS
Source: the Alexandria database
Functional: PBE
Structure: relaxed

Computed properties:
**V**: 151.6 Å³ per cell
**Raw formation energy**: -0.514 eV per atom
**Total moment**: 0.00 μB/f.u.

abc: 5.067 5.067 5.907
angles: 90.00 90.00 90.00
Space group P4/mmm (No. 123)
Inequivalent atoms, fractional coordinates:
1 Ba 0.000 0.000 0.000 [1 per cell]
2 Mg 0.000 0.500 0.500 [2 per cell]
3 Sn 0.500 0.500 0.000 [1 per cell]
4 S 0.000 0.000 0.500 [1 per cell]



Compound: Ba2SrMgS
Source: the Alexandria database
Functional: PBE
Structure: relaxed

Computed properties:
**V**: 223.1 Å³ per cell
**Raw formation energy**: -0.739 eV per atom
**Total moment**: 0.00 μB/f.u.

abc: 6.231 6.231 5.747
angles: 90.00 90.00 90.00
Space group P4/mmm (No. 123)
Inequivalent atoms, fractional coordinates:
1 Ba 0.000 0.500 0.000 [2 per cell]
2 Sr 0.000 0.000 0.500 [1 per cell]
3 Mg 0.500 0.500 0.500 [1 per cell]
4 S 0.000 0.000 0.000 [1 per cell]



Compound: Ba2MgTlS5
Source: the Alexandria database
Functional: PBE
Structure: relaxed

Computed properties:
**V**: 994.9 Å³ per cell
**Raw formation energy**: -1.175 eV per atom
**Total moment**: 0.96 μB/f.u.

abc: 4.227 19.013 12.380
angles: 90.00 90.00 90.00
Space group Cmc2_1 (No. 36)
Inequivalent atoms, fractional coordinates:
1 Ba 0.000 0.115 0.000 [4 per cell]
2 Ba 0.000 0.125 0.628 [4 per cell]
3 Mg 0.000 0.234 0.344 [4 per cell]
4 Tl 0.000 0.445 0.782 [4 per cell]
5 S 0.000 0.044 0.395 [4 per cell]
6 S 0.000 0.286 0.968 [4 per cell]
7 S 0.000 0.306 0.734 [4 per cell]
8 S 0.000 0.361 0.318 [4 per cell]
9 S 0.000 0.496 0.596 [4 per cell]



Compound: BaMgTlS2
Source: the Alexandria database
Functional: PBE
Structure: relaxed

Computed properties:
**V**: 219.3 Å³ per cell
**Raw formation energy**: 0.050 eV per atom
**Total moment**: 0.00 μB/f.u.

abc: 5.839 5.839 6.432
angles: 90.00 90.00 90.00
Space group P4/mmm (No. 123)
Inequivalent atoms, fractional coordinates:
1 Ba 0.000 0.000 0.000 [1 per cell]
2 Mg 0.000 0.000 0.500 [1 per cell]
3 Tl 0.500 0.500 0.500 [1 per cell]
4 S 0.000 0.500 0.000 [2 per cell]



Compound: Ba3MgU2S9
Source: the Alexandria database
Functional: PBE
Structure: relaxed

Computed properties:
**V**: 404.1 Å³ per cell
**Raw formation energy**: -1.661 eV per atom
**Total moment**: 2.00 μB/f.u.

abc: 7.2315 7.2315 8.9232
angles: 90.00 90.00 120.00
Space group P-3m1 (No. 164)
Inequivalent atoms, fractional coordinates:
1 Ba 0.0000 0.0000 0.0000 [1 per cell]
2 Ba 0.3333 0.6667 0.6523 [2 per cell]
3 Mg 0.0000 0.0000 0.5000 [1 per cell]
4 U 0.3333 0.6667 0.1782 [2 per cell]
5 S 0.0000 0.5000 0.0000 [3 per cell]
6 S 0.1645 0.3291 0.3346 [6 per cell]



Compound: BaMgV2S
Source: the Alexandria database
Functional: PBE
Structure: relaxed

Computed properties:
**V**: 161.5 Å³ per cell
**Raw formation energy**: 1.086 eV per atom
**Total moment**: 7.48 μB/f.u.

abc: 4.965 4.965 6.551
angles: 90.00 90.00 90.00
Space group P4/mmm (No. 123)
Inequivalent atoms, fractional coordinates:
1 Ba 0.000 0.000 0.000 [1 per cell]
2 Mg 0.000 0.000 0.500 [1 per cell]
3 V 0.000 0.500 0.500 [2 per cell]
4 S 0.500 0.500 0.000 [1 per cell]



Compound: BaMg2VS
Source: the Alexandria database
Functional: PBE
Structure: relaxed

Computed properties:
**V**: 251.9 Å³ per cell
**Raw formation energy**: 1.123 eV per atom
**Total moment**: 4.46 μB/f.u.

abc: 6.679 6.679 5.646
angles: 90.00 90.00 90.00
Space group P4/mmm (No. 123)
Inequivalent atoms, fractional coordinates:
1 Ba 0.000 0.000 0.000 [1 per cell]
2 Mg 0.000 0.500 0.000 [2 per cell]
3 V 0.500 0.500 0.500 [1 per cell]
4 S 0.000 0.000 0.500 [1 per cell]



Compound: BaMgZn2S4
Source: the Alexandria database
Functional: PBE
Structure: relaxed

Computed properties:
**V**: 396.0 Å³ per cell
**Raw formation energy**: -1.134 eV per atom
**Total moment**: 0.00 μB/f.u.

abc: 6.487 7.387 8.263
angles: 90.00 90.00 90.00
Space group I222 (No. 23)
Inequivalent atoms, fractional coordinates:
1 Ba 0.000 0.000 0.000 [2 per cell]
2 Mg 0.000 0.000 0.500 [2 per cell]
3 Zn 0.000 0.500 0.189 [4 per cell]
4 S 0.231 0.181 0.325 [8 per cell]



Compound: BaMgSb3
Source: the Alexandria database
Functional: PBE
Structure: relaxed

Computed properties:
**V**: 168.0 Å³ per cell
**Raw formation energy**: -0.212 eV per atom
**Total moment**: 0.00 μB/f.u.
**Excess energy over the best structure of this formula in the dataset**: 0 meV per atom

abc: 5.518 5.518 5.518
angles: 90.00 90.00 90.00
Space group Pm-3m (No. 221)
Inequivalent atoms, fractional coordinates:
1 Ba 0.000 0.000 0.000 [1 per cell]
2 Mg 0.500 0.500 0.500 [1 per cell]
3 Sb 0.000 0.500 0.500 [3 per cell]



Compound: BaMg14Sb
Source: the Alexandria database
Functional: PBE
Structure: relaxed

Computed properties:
**V**: 405.7 Å³ per cell
**Raw formation energy**: 0.035 eV per atom
**Total moment**: 0.00 μB/f.u.
**Excess energy over the best structure of this formula in the dataset**: 39 meV per atom

abc: 6.6556 6.6556 10.5765
angles: 90.00 90.00 120.00
Space group P-6m2 (No. 187)
Inequivalent atoms, fractional coordinates:
1 Ba 0.0000 0.0000 0.0000 [1 per cell]
2 Mg 0.0160 0.5080 0.0000 [3 per cell]
3 Mg 0.1718 0.3435 0.2656 [6 per cell]
4 Mg 0.5065 0.0130 0.5000 [3 per cell]
5 Mg 0.6667 0.3333 0.2407 [2 per cell]
6 Sb 0.0000 0.0000 0.5000 [1 per cell]



Compound: Ba2MgSb2
Source: the Alexandria database
Functional: PBE
Structure: relaxed

Computed properties:
**V**: 372.6 Å³ per cell
**Raw formation energy**: -0.689 eV per atom
**Total moment**: 0.11 μB/f.u.

abc: 8.683 8.683 4.942
angles: 90.00 90.00 90.00
Space group P4/mbm (No. 127)
Inequivalent atoms, fractional coordinates:
1 Ba 0.145 0.355 0.000 [4 per cell]
2 Mg 0.000 0.000 0.500 [2 per cell]
3 Sb 0.165 0.665 0.500 [4 per cell]



Compound: BaMgSb3
Source: the Alexandria database
Functional: PBE
Structure: relaxed

Computed properties:
**V**: 240.0 Å³ per cell
**Raw formation energy**: 0.877 eV per atom
**Total moment**: 0.00 μB/f.u.
**Excess energy over the best structure of this formula in the dataset**: 1088 meV per atom

abc: 6.215 6.215 6.215
angles: 90.00 90.00 90.00
Space group Pm-3m (No. 221)
Inequivalent atoms, fractional coordinates:
1 Ba 0.000 0.000 0.000 [1 per cell]
2 Mg 0.500 0.500 0.500 [1 per cell]
3 Sb 0.000 0.000 0.500 [3 per cell]



Compound: BaMg4Sb
Source: the Alexandria database
Functional: PBE
Structure: relaxed

Computed properties:
**V**: 690.1 Å³ per cell
**Raw formation energy**: -0.058 eV per atom
**Total moment**: 0.00 μB/f.u.

abc: 8.837 8.837 8.837
angles: 90.00 90.00 90.00
Space group F-43m (No. 216)
Inequivalent atoms, fractional coordinates:
1 Ba 0.000 0.000 0.000 [4 per cell]
2 Mg 0.124 0.124 0.624 [16 per cell]
3 Sb 0.250 0.250 0.250 [4 per cell]



Compound: BaMgSb
Source: the Alexandria database
Functional: PBE
Structure: relaxed

Computed properties:
**V**: 410.5 Å³ per cell
**Raw formation energy**: -0.401 eV per atom
**Total moment**: 0.00 μB/f.u.
**Excess energy over the best structure of this formula in the dataset**: 282 meV per atom

abc: 7.432 7.432 7.432
angles: 90.00 90.00 90.00
Space group F-43m (No. 216)
Inequivalent atoms, fractional coordinates:
1 Ba 0.000 0.000 0.000 [4 per cell]
2 Mg 0.250 0.250 0.250 [4 per cell]
3 Sb 0.000 0.000 0.500 [4 per cell]



Compound: BaMgSb
Source: the Alexandria database
Functional: PBE
Structure: relaxed

Computed properties:
**V**: 104.0 Å³ per cell
**Raw formation energy**: -0.683 eV per atom
**Total moment**: 0.84 μB/f.u.
**Excess energy over the best structure of this formula in the dataset**: 0 meV per atom

abc: 4.8919 4.8919 5.0184
angles: 90.00 90.00 120.00
Space group P-6m2 (No. 187)
Inequivalent atoms, fractional coordinates:
1 Ba 0.0000 0.0000 0.0000 [1 per cell]
2 Mg 0.6667 0.3333 0.5000 [1 per cell]
3 Sb 0.3333 0.6667 0.5000 [1 per cell]